(1)
The following is a DFT calculation (PBE) of a relaxed MnNb5Re4 crystal.

Cell lengths 3.1872, 3.1872, 15.9144 Å; angles 90.00, 90.00, 90.00 degrees
Space group P4/mmm (No. 123)
Unique sites:
Mn (0.0000, 0.0000, 0.0000) [1 per cell]
Nb (0.5000, 0.5000, 0.0953) [2 per cell]
Nb (0.5000, 0.5000, 0.2972) [2 per cell]
Nb (0.5000, 0.5000, 0.5000) [1 per cell]
Re (0.0000, 0.0000, 0.1957) [2 per cell]
Re (0.0000, 0.0000, 0.3987) [2 per cell]

Output
Crystal system: tetragonal
Energy of formation in meV per atom: -235

---

(2)
The following is a DFT calculation (PBE) of a relaxed MnNb6Re crystal.

Cell lengths 4.5508, 4.5508, 13.0826 Å; angles 90.00, 90.00, 90.00 degrees
Space group I4/mmm (No. 139)
Unique sites:
Mn (0.0000, 0.0000, 0.0000) [2 per cell]
Nb (0.0000, 0.0000, 0.2496) [4 per cell]
Nb (0.0000, 0.5000, 0.1191) [8 per cell]
Re (0.0000, 0.0000, 0.5000) [2 per cell]

Output
Crystal system: tetragonal
Energy of formation in meV per atom: -104

---

(3)
The following is a DFT calculation (PBE) of a relaxed Mn2Nb3Re crystal.

Cell lengths 3.1255, 3.1255, 9.3504 Å; angles 90.00, 90.00, 90.00 degrees
Space group P4/mmm (No. 123)
Unique sites:
Mn (0.0000, 0.0000, 0.1626) [2 per cell]
Nb (0.5000, 0.5000, 0.0000) [1 per cell]
Nb (0.5000, 0.5000, 0.3258) [2 per cell]
Re (0.0000, 0.0000, 0.5000) [1 per cell]

Output
Crystal system: tetragonal
Energy of formation in meV per atom: -153

---

(4)
The following is a DFT calculation (PBE) of a relaxed MnNbRe3 crystal.

Cell lengths 4.6888, 4.6888, 4.6888 Å; angles 90.00, 90.00, 90.00 degrees
Space group Pm-3m (No. 221)
Unique sites:
Mn (0.0000, 0.0000, 0.0000) [1 per cell]
Nb (0.5000, 0.5000, 0.5000) [1 per cell]
Re (0.0000, 0.5000, 0.5000) [3 per cell]

Output
Crystal system: cubic
Offset from the most stable computed form in meV per atom: 1544
Energy of formation in meV per atom: 2747

---

(5)
The following is a DFT calculation (PBE) of a relaxed Mn8NbRe3 crystal.

Cell lengths 4.6882, 4.6882, 7.7396 Å; angles 90.00, 90.00, 120.00 degrees
Space group P3m1 (No. 156)
Unique sites:
Mn (0.0000, 0.0000, 0.0000) [1 per cell]
Mn (0.0000, 0.0000, 0.4997) [1 per cell]
Mn (0.1730, 0.3460, 0.2511) [3 per cell]
Mn (0.3441, 0.1720, 0.7461) [3 per cell]
Nb (0.6667, 0.3333, 0.0624) [1 per cell]
Re (0.3333, 0.6667, 0.5660) [1 per cell]
Re (0.3333, 0.6667, 0.9249) [1 per cell]
Re (0.6667, 0.3333, 0.4367) [1 per cell]

Output
Crystal system: trigonal
Energy of formation in meV per atom: -132

---

(6)
The following is a DFT calculation (PBE) of a relaxed MnNbReRh crystal.

Cell lengths 6.2491, 6.2491, 6.2491 Å; angles 90.00, 90.00, 90.00 degrees
Space group F-43m (No. 216)
Unique sites:
Mn (0.0000, 0.0000, 0.0000) [4 per cell]
Nb (0.0000, 0.0000, 0.5000) [4 per cell]
Re (0.2500, 0.2500, 0.7500) [4 per cell]
Rh (0.2500, 0.2500, 0.2500) [4 per cell]

Output
Crystal system: cubic
Energy of formation in meV per atom: -98

---

| no. | volume (Å³/cell) | energy (eV/atom) |
| --- | --- | --- |
| 1 | 161.7 | -11.166 |
| 2 | 270.9 | -10.359 |
| 3 | 91.3 | -10.319 |
| 4 | 103.1 | -8.570 |
| 5 | 147.3 | -10.197 |
| 6 | 244.0 | -9.857 |